Compound: Al2PbW
Source: Alexandria via LeMat-Bulk
Functional: PBE-GGA
Structure: relaxed

```
16
Lattice="6.711 0.000 0.000 0.000 6.711 0.000 0.000 0.000 6.711" Properties=species:S:1:pos:R:3 pbc="T T T"
Al 1.678 1.678 1.678
Al 1.678 1.678 5.033
Al 1.678 5.033 1.678
Al 1.678 5.033 5.033
Al 5.033 1.678 1.678
Al 5.033 1.678 5.033
Al 5.033 5.033 1.678
Al 5.033 5.033 5.033
Pb 0.000 0.000 0.000
Pb 0.000 3.355 3.355
Pb 3.355 0.000 3.355
Pb 3.355 3.355 0.000
W 0.000 0.000 3.355
W 0.000 3.355 0.000
W 3.355 0.000 0.000
W 3.355 3.355 3.355
```

Fermi-level density of states	10.98	states/eV per cell
SG	Fm-3m
calculated formation energy	0.82	eV per atom